Entry from Alexandria: Sr2Zn2Te after structural relaxation (PBE).

For the calculated volume, the calculation gives 32.757 Å³ per atom. As for the formation energy without anion corrections: -0.307 eV/atom.

abc: 6.012 6.012 6.213
angles: 61.07 61.07 90.00
Positions (direct):
1 Sr 0.750 0.250 0.500
2 Sr 0.250 0.750 0.500
3 Zn 0.366 0.366 0.267
4 Zn 0.634 0.634 0.733
5 Te 0.000 0.000 0.000